BaCrSe2F, relaxed, DFT PBE+U; total DFT energy (no corrections) = -54.46 eV for the cell shown; V = 24.09 Å³ per atom; space-group type = P2_1/m, No. 11
1.0
-2.9766 -2.3380 1.3634
4.8006 -5.4495 1.1357
-0.2312 4.4904 7.1954
Cr F Se Ba
2 2 4 2
Direct
0.7500 0.1707 0.1652 Cr
0.2500 0.8293 0.8348 Cr
0.2500 0.5431 0.7493 F
0.7500 0.4569 0.2507 F
0.7500 0.8445 0.6369 Se
0.2500 0.1555 0.3631 Se
0.7500 0.8120 0.0341 Se
0.2500 0.1880 0.9659 Se
0.2500 0.6866 0.3135 Ba
0.7500 0.3134 0.6865 Ba